Entry 1:
The following is a DFT calculation (GGA-PBE) of an optimized crystal structure of HfNb2Zn3. Values from VASP.

```
&SYSTEM
  ibrav = 0, nat = 6, ntyp = 3
/
ATOMIC_SPECIES
Hf 178.49 Hf.upf
Nb 92.91 Nb.upf
Zn 65.41 Zn.upf
CELL_PARAMETERS angstrom
3.426 0.000 0.000
0.000 3.426 0.000
0.000 0.000 8.635
ATOMIC_POSITIONS crystal
Hf 0.500 0.500 0.500
Nb 0.500 0.500 0.846
Nb 0.500 0.500 0.154
Zn 0.000 0.000 0.000
Zn 0.000 0.000 0.678
Zn 0.000 0.000 0.322
```

Calculated values
**Energy**: -34.2 eV/cell

=====

Entry 2:
The following is a DFT calculation (GGA-PBE) of an optimized crystal structure of HfNb2Zn. Values from VASP.

```
&SYSTEM
  ibrav = 0, nat = 8, ntyp = 3
/
ATOMIC_SPECIES
Nb 92.91 Nb.upf
Hf 178.49 Hf.upf
Zn 65.41 Zn.upf
CELL_PARAMETERS angstrom
7.560 0.000 0.000
0.000 7.560 0.000
3.780 3.780 2.712
ATOMIC_POSITIONS crystal
Nb 0.599 0.125 0.250
Nb 0.151 0.625 0.250
Nb 0.375 0.401 0.750
Nb 0.875 0.849 0.750
Hf 0.000 0.000 0.000
Hf 0.750 0.250 0.500
Zn 0.500 0.500 0.000
Zn 0.250 0.750 0.500
```

Calculated values
**Energy**: -59.3 eV/cell

=====

Entry 3:
The following is a DFT calculation (GGA-PBE) of an optimized crystal structure of Hf3NbZn12. Values from VASP.

```
&SYSTEM
  ibrav = 0, nat = 16, ntyp = 3
/
ATOMIC_SPECIES
Hf 178.49 Hf.upf
Nb 92.91 Nb.upf
Zn 65.41 Zn.upf
CELL_PARAMETERS angstrom
3.989 0.000 0.000
0.000 3.989 0.000
0.000 0.000 16.271
ATOMIC_POSITIONS crystal
Hf 0.000 0.000 0.246
Hf 0.000 0.000 0.500
Hf 0.000 0.000 0.754
Nb 0.000 0.000 0.000
Zn 0.500 0.500 0.000
Zn 0.500 0.500 0.245
Zn 0.500 0.500 0.500
Zn 0.500 0.500 0.755
Zn 0.500 0.000 0.120
Zn 0.500 0.000 0.373
Zn 0.500 0.000 0.627
Zn 0.500 0.000 0.880
Zn 0.000 0.500 0.120
Zn 0.000 0.500 0.373
Zn 0.000 0.500 0.627
Zn 0.000 0.500 0.880
```

Calculated values
**Energy**: -58.0 eV/cell

=====

Entry 4:
The following is a DFT calculation (GGA-PBE) of an optimized crystal structure of Hf4NbZn2. Values from VASP.

```
&SYSTEM
  ibrav = 0, nat = 7, ntyp = 3
/
ATOMIC_SPECIES
Hf 178.49 Hf.upf
Nb 92.91 Nb.upf
Zn 65.41 Zn.upf
CELL_PARAMETERS angstrom
4.212 0.000 0.000
0.000 5.662 -1.559
0.000 0.413 5.858
ATOMIC_POSITIONS crystal
Hf 0.000 0.787 0.787
Hf 0.000 0.213 0.213
Hf 0.500 0.000 0.500
Hf 0.500 0.500 0.000
Nb 0.500 0.500 0.500
Zn 0.000 0.724 0.276
Zn 0.000 0.276 0.724
```

Calculated values
**Energy**: -51.8 eV/cell

=====

Entry 5:
The following is a DFT calculation (GGA-PBE) of an optimized crystal structure of Hf2NbZn2. Values from VASP.

```
&SYSTEM
  ibrav = 0, nat = 10, ntyp = 3
/
ATOMIC_SPECIES
Hf 178.49 Hf.upf
Nb 92.91 Nb.upf
Zn 65.41 Zn.upf
CELL_PARAMETERS angstrom
-3.805 -2.040 1.453
2.185 -5.371 -1.819
4.138 1.403 5.666
ATOMIC_POSITIONS crystal
Hf 0.391 0.840 0.781
Hf 0.391 0.340 0.781
Hf 0.609 0.160 0.219
Hf 0.609 0.660 0.219
Nb 0.000 0.250 0.000
Nb 0.000 0.750 0.000
Zn 0.197 0.485 0.394
Zn 0.803 0.015 0.606
Zn 0.803 0.515 0.606
Zn 0.197 0.985 0.394
```

Calculated values
**Energy relative to the lowest polymorph listed for this composition**: 0 meV per atom

=====

Entry 6:
The following is a DFT calculation (GGA-PBE) of an optimized crystal structure of HfZr6Nb. Values from VASP.

```
&SYSTEM
  ibrav = 0, nat = 8, ntyp = 3
/
ATOMIC_SPECIES
Hf 178.49 Hf.upf
Zr 91.22 Zr.upf
Nb 92.91 Nb.upf
CELL_PARAMETERS angstrom
7.623 0.461 -0.198
4.225 7.311 -0.160
3.743 2.787 3.264
ATOMIC_POSITIONS crystal
Hf 0.500 0.500 0.500
Zr 0.966 0.532 0.743
Zr 0.758 0.967 0.806
Zr 0.531 0.242 0.261
Zr 0.242 0.033 0.194
Zr 0.034 0.468 0.257
Zr 0.469 0.758 0.739
Nb 0.000 0.000 0.000
```

Calculated values
**Energy relative to the lowest polymorph listed for this composition**: 87 meV per atom

=====

Entry 7:
The following is a DFT calculation (GGA-PBE) of an optimized crystal structure of Hf12Zr3Nb5. Values from VASP.

```
&SYSTEM
  ibrav = 0, nat = 80, ntyp = 3
/
ATOMIC_SPECIES
Zr 91.22 Zr.upf
Nb 92.91 Nb.upf
Hf 178.49 Hf.upf
CELL_PARAMETERS angstrom
-1.344 -11.968 -6.985
2.704 -2.717 13.385
-11.825 7.287 -0.959
ATOMIC_POSITIONS crystal
Zr 0.750 0.375 0.125
Zr 0.875 0.750 0.125
Zr 0.375 0.750 0.625
Zr 0.250 0.125 0.375
Zr 0.875 0.125 0.250
Zr 0.375 0.625 0.250
Zr 0.625 0.375 0.750
Zr 0.125 0.875 0.750
Zr 0.750 0.875 0.625
Zr 0.625 0.250 0.375
Zr 0.125 0.250 0.875
Zr 0.250 0.625 0.875
Nb 0.125 0.375 0.250
Nb 0.000 0.500 0.000
Nb 0.000 0.000 0.000
Nb 0.375 0.250 0.125
Nb 0.500 0.000 0.500
Nb 0.500 0.500 0.000
Nb 0.125 0.750 0.375
Nb 0.750 0.125 0.875
Nb 0.750 0.625 0.375
Nb 0.375 0.125 0.750
Nb 0.625 0.875 0.250
Nb 0.500 0.500 0.500
Nb 0.500 0.000 0.000
Nb 0.000 0.000 0.500
Nb 0.250 0.375 0.625
Nb 0.250 0.875 0.125
Nb 0.000 0.500 0.500
Nb 0.875 0.250 0.625
Nb 0.625 0.750 0.875
Nb 0.875 0.625 0.750
Hf 0.722 0.117 0.051
Hf 0.328 0.551 0.434
Hf 0.949 0.383 0.278
Hf 0.551 0.222 0.117
Hf 0.606 0.722 0.672
Hf 0.949 0.566 0.172
Hf 0.328 0.778 0.394
Hf 0.066 0.894 0.117
Hf 0.566 0.949 0.672
Hf 0.722 0.606 0.172
Hf 0.778 0.449 0.383
Hf 0.828 0.934 0.051
Hf 0.117 0.722 0.551
Hf 0.383 0.434 0.106
Hf 0.106 0.934 0.383
Hf 0.394 0.117 0.566
Hf 0.106 0.172 0.222
Hf 0.449 0.672 0.066
Hf 0.828 0.894 0.278
Hf 0.117 0.394 0.066
Hf 0.383 0.949 0.778
Hf 0.566 0.617 0.394
Hf 0.934 0.828 0.551
Hf 0.778 0.328 0.894
Hf 0.434 0.383 0.606
Hf 0.066 0.172 0.449
Hf 0.222 0.672 0.106
Hf 0.172 0.106 0.722
Hf 0.617 0.051 0.222
Hf 0.883 0.606 0.934
Hf 0.551 0.328 0.934
Hf 0.606 0.883 0.434
Hf 0.894 0.828 0.778
Hf 0.894 0.066 0.617
Hf 0.883 0.278 0.449
Hf 0.172 0.066 0.949
Hf 0.617 0.566 0.894
Hf 0.434 0.051 0.328
Hf 0.278 0.394 0.828
Hf 0.222 0.551 0.617
Hf 0.934 0.106 0.883
Hf 0.672 0.222 0.606
Hf 0.449 0.778 0.883
Hf 0.051 0.434 0.828
Hf 0.394 0.278 0.328
Hf 0.051 0.617 0.722
Hf 0.672 0.449 0.566
Hf 0.278 0.883 0.949
```

Calculated values
**Energy**: -668.9 eV/cell

=====

Entry 8:
The following is a DFT calculation (GGA-PBE) of an optimized crystal structure of HfZr3Nb. Values from VASP.

```
&SYSTEM
  ibrav = 0, nat = 5, ntyp = 3
/
ATOMIC_SPECIES
Nb 92.91 Nb.upf
Hf 178.49 Hf.upf
Zr 91.22 Zr.upf
CELL_PARAMETERS angstrom
5.063 0.000 0.000
0.000 5.063 0.000
0.000 0.000 5.063
ATOMIC_POSITIONS crystal
Nb 0.000 0.000 0.000
Hf 0.500 0.500 0.500
Zr 0.000 0.500 0.000
Zr 0.000 0.000 0.500
Zr 0.500 0.000 0.000
```

Calculated values
**Energy relative to the lowest polymorph listed for this composition**: 838 meV per atom

=====

Entry 9:
The following is a DFT calculation (GGA-PBE) of an optimized crystal structure of Hf2ZrNb. Values from VASP.

```
&SYSTEM
  ibrav = 0, nat = 4, ntyp = 3
/
ATOMIC_SPECIES
Nb 92.91 Nb.upf
Hf 178.49 Hf.upf
Zr 91.22 Zr.upf
CELL_PARAMETERS angstrom
4.355 0.000 0.000
0.000 4.447 0.000
0.000 0.000 4.447
ATOMIC_POSITIONS crystal
Nb 0.500 0.000 0.000
Hf 0.000 0.000 0.500
Hf 0.000 0.500 0.000
Zr 0.500 0.500 0.500
```

Calculated values
**Energy relative to the lowest polymorph listed for this composition**: 54 meV per atom

=====

Entry 10:
The following is a DFT calculation (GGA-PBE) of an optimized crystal structure of HfZr6Nb. Values from VASP.

```
&SYSTEM
  ibrav = 0, nat = 8, ntyp = 3
/
ATOMIC_SPECIES
Hf 178.49 Hf.upf
Zr 91.22 Zr.upf
Nb 92.91 Nb.upf
CELL_PARAMETERS angstrom
4.730 0.000 0.000
0.000 6.014 -1.560
0.000 0.517 6.192
ATOMIC_POSITIONS crystal
Hf 0.500 0.616 0.384
Zr 0.500 0.108 0.337
Zr 0.500 0.663 0.892
Zr 0.000 0.330 0.101
Zr 0.000 0.899 0.670
Zr 0.000 0.386 0.614
Zr 0.000 0.828 0.172
Nb 0.500 0.170 0.830
```

Calculated values
**Energy relative to the lowest polymorph listed for this composition**: 0 meV per atom

=====

Entry 11:
The following is a DFT calculation (GGA-PBE) of an optimized crystal structure of Hf3ZrNb8. Values from VASP.

```
&SYSTEM
  ibrav = 0, nat = 12, ntyp = 3
/
ATOMIC_SPECIES
Hf 178.49 Hf.upf
Zr 91.22 Zr.upf
Nb 92.91 Nb.upf
CELL_PARAMETERS angstrom
-1.508 0.926 -5.253
-4.142 -2.917 -2.249
-7.808 5.589 0.302
ATOMIC_POSITIONS crystal
Hf 0.375 0.375 0.875
Hf 0.000 0.000 0.000
Hf 0.500 0.500 0.501
Zr 0.875 0.875 0.375
Nb 0.938 0.438 0.186
Nb 0.437 0.937 0.689
Nb 0.438 0.438 0.186
Nb 0.937 0.937 0.689
Nb 0.187 0.187 0.438
Nb 0.688 0.688 0.937
Nb 0.438 0.938 0.186
Nb 0.937 0.437 0.689
```

Calculated values
**Energy**: -118.5 eV/cell

=====

Entry 12:
The following is a DFT calculation (GGA-PBE) of an optimized crystal structure of HfZr2Nb. Values from VASP.

```
&SYSTEM
  ibrav = 0, nat = 4, ntyp = 3
/
ATOMIC_SPECIES
Nb 92.91 Nb.upf
Hf 178.49 Hf.upf
Zr 91.22 Zr.upf
CELL_PARAMETERS angstrom
4.586 0.000 0.000
0.000 4.353 0.000
0.000 0.000 4.353
ATOMIC_POSITIONS crystal
Nb 0.500 0.000 0.000
Hf 0.500 0.500 0.500
Zr 0.000 0.000 0.500
Zr 0.000 0.500 0.000
```

Calculated values
**Energy relative to the lowest polymorph listed for this composition**: 51 meV per atom

=====

Entry 13:
The following is a DFT calculation (GGA-PBE) of an optimized crystal structure of HfZr2Nb. Values from VASP.

```
&SYSTEM
  ibrav = 0, nat = 4, ntyp = 3
/
ATOMIC_SPECIES
Nb 92.91 Nb.upf
Hf 178.49 Hf.upf
Zr 91.22 Zr.upf
CELL_PARAMETERS angstrom
-0.778 -3.356 -0.241
2.137 -0.302 -2.696
5.429 -1.580 4.481
ATOMIC_POSITIONS crystal
Nb 0.500 0.500 0.000
Hf 0.500 0.500 0.500
Zr 0.000 0.000 0.772
Zr 0.000 0.000 0.228
```

Calculated values
**Energy relative to the lowest polymorph listed for this composition**: 0 meV per atom

=====

Entry 14:
The following is a DFT calculation (GGA-PBE) of an optimized crystal structure of HfZrNb2. Values from VASP.

```
&SYSTEM
  ibrav = 0, nat = 8, ntyp = 3
/
ATOMIC_SPECIES
Nb 92.91 Nb.upf
Hf 178.49 Hf.upf
Zr 91.22 Zr.upf
CELL_PARAMETERS angstrom
-1.956 -4.265 5.958
6.428 -3.960 -0.724
3.590 -2.241 4.402
ATOMIC_POSITIONS crystal
Nb 0.625 0.125 0.250
Nb 0.125 0.625 0.250
Nb 0.375 0.375 0.750
Nb 0.875 0.875 0.750
Hf 0.000 0.000 0.000
Hf 0.750 0.250 0.500
Zr 0.500 0.500 0.000
Zr 0.250 0.750 0.500
```

Calculated values
**Energy relative to the lowest polymorph listed for this composition**: 505 meV per atom

=====

Entry 15:
The following is a DFT calculation (GGA-PBE) of an optimized crystal structure of Hf14ZrNb. Values from VASP.

```
&SYSTEM
  ibrav = 0, nat = 16, ntyp = 3
/
ATOMIC_SPECIES
Hf 178.49 Hf.upf
Zr 91.22 Zr.upf
Nb 92.91 Nb.upf
CELL_PARAMETERS angstrom
-1.822 4.111 -4.500
-2.710 -5.745 0.336
-7.103 3.718 6.273
ATOMIC_POSITIONS crystal
Hf 0.209 0.791 0.000
Hf 0.708 0.292 0.000
Hf 0.040 0.456 0.500
Hf 0.207 0.293 0.000
Hf 0.544 0.960 0.500
Hf 0.707 0.793 0.000
Hf 0.377 0.127 0.749
Hf 0.377 0.127 0.251
Hf 0.873 0.623 0.749
Hf 0.873 0.623 0.251
Hf 0.376 0.624 0.747
Hf 0.376 0.624 0.253
Hf 0.874 0.126 0.751
Hf 0.874 0.126 0.249
Zr 0.041 0.959 0.500
Nb 0.545 0.455 0.500
```

Calculated values
**Energy**: -156.8 eV/cell

=====

Entry 16:
The following is a DFT calculation (GGA-PBE) of an optimized crystal structure of HfZr2Nb. Values from VASP.

```
&SYSTEM
  ibrav = 0, nat = 4, ntyp = 3
/
ATOMIC_SPECIES
Hf 178.49 Hf.upf
Zr 91.22 Zr.upf
Nb 92.91 Nb.upf
CELL_PARAMETERS angstrom
-1.743 1.211 2.182
-3.975 -4.650 -0.594
2.337 -2.406 3.203
ATOMIC_POSITIONS crystal
Hf 0.500 0.741 0.500
Zr 0.000 0.996 0.000
Zr 0.500 0.257 0.500
Nb 0.000 0.506 0.000
```

Calculated values
**Energy relative to the lowest polymorph listed for this composition**: 55 meV per atom

=====

Entry 17:
The following is a DFT calculation (GGA-PBE) of an optimized crystal structure of Hf4ZrNb. Values from VASP.

```
&SYSTEM
  ibrav = 0, nat = 12, ntyp = 3
/
ATOMIC_SPECIES
Hf 178.49 Hf.upf
Zr 91.22 Zr.upf
Nb 92.91 Nb.upf
CELL_PARAMETERS angstrom
5.040 -0.152 -2.060
-0.983 6.838 -2.911
-0.421 -0.619 8.339
ATOMIC_POSITIONS crystal
Hf 0.928 0.332 0.663
Hf 0.671 0.316 0.249
Hf 0.000 0.189 0.000
Hf 0.329 0.067 0.751
Hf 0.072 0.668 0.337
Hf 0.329 0.684 0.751
Hf 0.000 0.811 0.000
Hf 0.671 0.933 0.249
Zr 0.279 0.214 0.427
Zr 0.721 0.786 0.573
Nb 0.654 0.456 0.912
Nb 0.346 0.544 0.088
```

Calculated values
**Energy**: -114.3 eV/cell

=====

Entry 18:
The following is a DFT calculation (GGA-PBE) of an optimized crystal structure of Hf2ZrNb. Values from VASP.

```
&SYSTEM
  ibrav = 0, nat = 4, ntyp = 3
/
ATOMIC_SPECIES
Nb 92.91 Nb.upf
Hf 178.49 Hf.upf
Zr 91.22 Zr.upf
CELL_PARAMETERS angstrom
3.131 0.000 0.000
1.565 2.711 0.000
1.565 0.904 10.185
ATOMIC_POSITIONS crystal
Nb 0.500 0.500 0.500
Hf 0.753 0.753 0.740
Hf 0.247 0.247 0.260
Zr 0.000 0.000 0.000
```

Calculated values
**Energy relative to the lowest polymorph listed for this composition**: 72 meV per atom

=====

Entry 19:
The following is a DFT calculation (GGA-PBE) of an optimized crystal structure of Hf2ZrNb. Values from VASP.

```
&SYSTEM
  ibrav = 0, nat = 4, ntyp = 3
/
ATOMIC_SPECIES
Hf 178.49 Hf.upf
Zr 91.22 Zr.upf
Nb 92.91 Nb.upf
CELL_PARAMETERS angstrom
-0.338 0.366 -3.070
1.879 -1.872 -1.626
-6.820 -6.795 -0.062
ATOMIC_POSITIONS crystal
Hf 0.176 0.176 0.764
Hf 0.177 0.177 0.236
Zr 0.559 0.559 0.500
Nb 0.588 0.588 0.000
```

Calculated values
**Energy relative to the lowest polymorph listed for this composition**: 13 meV per atom

=====

Entry 20:
The following is a DFT calculation (GGA-PBE) of an optimized crystal structure of HfZrNb2. Values from VASP.

```
&SYSTEM
  ibrav = 0, nat = 4, ntyp = 3
/
ATOMIC_SPECIES
Nb 92.91 Nb.upf
Hf 178.49 Hf.upf
Zr 91.22 Zr.upf
CELL_PARAMETERS angstrom
0.000 3.428 3.428
3.428 0.000 3.428
3.428 3.428 0.000
ATOMIC_POSITIONS crystal
Nb 0.250 0.250 0.250
Nb 0.750 0.750 0.750
Hf 0.500 0.500 0.500
Zr 0.000 0.000 0.000
```

Calculated values
**Energy relative to the lowest polymorph listed for this composition**: 39 meV per atom